[1]
A geometry-optimized Li2FeP4H16O20 structure. Source: Alexandria, functional PBEsol.

Raw total energy = -0.222 Ha/atom

Cell and atoms, written as extended XYZ:
```
86
Lattice="6.929 0.000 -0.107 0.000 10.411 0.000 -1.932 0.000 10.549" Properties=species:S:1:pos:R:3 pbc="T T T"
P 0.125 9.940 8.176
P 0.803 7.998 4.317
P 3.301 7.619 9.538
P 1.696 2.792 0.904
P 4.195 2.414 6.125
P 0.442 4.735 7.594
P 4.556 5.677 2.848
P 4.872 0.471 2.266
O 1.073 3.755 4.471
O 3.913 3.727 5.398
O 1.347 5.908 1.349
O 3.092 5.456 3.220
O 4.514 0.098 3.702
O 0.403 3.676 0.896
O 4.594 6.735 9.546
O 0.329 7.767 2.864
O 5.345 1.646 5.401
O 2.151 6.851 10.262
O 5.476 4.824 3.806
O 0.084 5.107 9.030
O 4.669 2.644 7.578
O 2.170 2.561 2.357
O 3.925 6.656 5.971
O 1.045 0.381 9.134
O -1.339 10.160 8.548
O -0.348 8.765 5.041
O 2.827 7.850 8.085
O 1.414 1.478 0.177
O 2.846 3.560 0.180
O 2.096 8.882 4.325
O 1.085 6.684 5.044
O 4.914 5.304 1.412
O 3.845 9.708 6.570
O 6.336 0.251 1.894
O 3.571 1.451 9.692
O 4.843 7.211 3.085
O -0.478 5.587 6.636
O 3.952 10.030 1.308
O 1.152 0.703 3.872
O 2.902 1.529 6.117
O 4.585 2.005 2.029
O 1.906 4.955 7.222
O 3.651 4.503 9.093
O 0.155 3.200 7.357
O 0.483 10.313 6.740
O 0.412 8.406 8.413
O 1.426 8.961 0.750
O 3.583 8.933 10.265
H 4.795 6.245 6.226
H 2.101 5.682 2.003
H 0.008 9.457 5.822
H 0.203 4.166 4.216
H -0.830 2.926 7.590
H 0.816 6.566 1.903
H 3.522 7.012 6.822
H 0.398 0.476 3.218
H 0.702 4.717 1.112
H 1.023 8.605 1.601
H 1.397 8.132 8.180
H 0.462 0.907 9.839
H 2.296 9.372 1.005
H 5.828 7.485 2.852
H 4.181 3.845 8.539
H 2.702 1.039 9.437
H 1.475 3.400 3.620
H 1.682 1.360 3.318
H 4.296 5.694 9.330
H 1.797 9.923 4.109
H 0.559 4.252 9.948
H 3.200 0.489 6.333
H 2.897 4.729 8.439
H 4.599 9.935 7.224
H 3.600 2.279 2.262
H 4.439 6.160 0.494
H 4.989 0.954 4.620
H 3.974 1.806 8.841
H 4.536 9.505 0.603
H 0.105 6.112 5.931
H 4.892 4.299 4.511
H 3.315 9.051 7.124
Li -0.198 6.929 9.982
Li 5.195 3.483 0.460
Li 4.233 8.688 4.654
Li 0.765 1.723 5.788
Fe 2.499 5.206 5.221
Fe 0.000 0.000 0.000
```

[2]
A geometry-optimized LiFe2P2HO8 structure. Source: Alexandria, functional PBEsol.

Offset from the most stable computed form = 52.4 meV/atom

Cell and atoms, written as extended XYZ:
```
28
Lattice="4.983 0.102 0.000 -1.815 7.454 0.000 0.000 0.000 8.281" Properties=species:S:1:pos:R:3 pbc="T T T"
Fe 0.269 6.999 2.826
Fe -0.517 4.275 5.445
Fe 3.686 3.281 1.305
Fe 2.899 0.557 6.966
P 2.140 3.556 7.049
P 4.415 0.325 1.212
P 1.029 4.000 2.909
P -1.247 7.231 5.352
O -0.534 6.882 6.676
O -0.268 1.622 0.515
O 0.826 4.319 6.850
O 1.645 6.998 0.291
O 3.702 0.674 2.535
O 0.306 4.327 1.588
O 1.345 5.426 3.563
O 3.085 4.304 8.001
O 2.343 3.237 2.710
O 2.862 3.229 5.729
O 4.238 0.643 5.562
O 0.083 3.252 3.861
O 3.436 5.934 4.655
O 1.524 0.558 4.431
O -1.069 6.913 1.422
O 1.824 2.129 7.703
Li -0.105 5.618 0.008
Li 3.274 1.937 4.148
H 2.354 5.665 4.086
H 0.815 1.891 8.226
```

Number 1: total magnetic moment 4.000 μB per formula unit. Number 2: total magnetic moment 8.000 μB per formula unit.